# Re2AgMo

A relaxed structure of Re2AgMo (PBE, Alexandria via LeMat-Bulk).

The structure belongs to space group P2/m (No. 10); the cell edges are 2.666, 4.553 and 5.251 Å and the angles 90.00°, 98.63° and 90.00°. The inequivalent atoms are Re at (0.227, 0.000, 0.251), Ag at (0.500, 0.500, 0.000) and Mo at (0.000, 0.500, 0.500).

As for the total magnetization: 0.0 μB/f.u. As for the distance to the lowest polymorph of the same formula: 212 meV/atom. For the final energy, the calculation gives -36.59 eV/cell. The calculation puts the density of states at the Fermi level at 2.961 states/eV/cell. The value obtained for the formation energy is 496 meV per atom.